Here is a relaxed BaCoNi2 crystal from Alexandria via LeMat-Bulk. Energies are from PBE.

Properties
Fermi-level density of states (states/eV/atom): 1.00
Calculated formation energy (eV/atom): 0.378
Space-group type: P2/m
VASP energy (eV per atom): -4.770
Magnetic moment (μB/atom): 0.60

Cell lengths 3.966, 4.632, 4.928 Å; angles 90.32, 90.00, 90.00 degrees
Site moments in Bohr magnetons follow the coordinates.
Atoms (fractional coordinates):
Co1 0.500 0.750 0.750  1.61
Ni1 0.000 0.491 0.751  0.57
Ba1 0.500 0.250 0.250  -0.07
Ni2 0.000 0.009 0.749  0.57